Version one
VASP calculation (PBE) on a geometry-optimized Mn2HgAs structure.

Geometry as CIF:
```
data_Mn2HgAs
_cell_length_a 3.6538
_cell_length_b 4.3451
_cell_length_c 4.3295
_cell_angle_alpha 90.00
_cell_angle_beta 90.18
_cell_angle_gamma 90.00
_symmetry_space_group_name_H-M 'P 1 2/m 1'
_symmetry_Int_Tables_number 10
loop_
_symmetry_equiv_pos_as_xyz
'x,y,z'
'-x,-y,-z'
'-x,y,-z'
'x,-y,z'
loop_
_atom_site_label
_atom_site_type_symbol
_atom_site_fract_x
_atom_site_fract_y
_atom_site_fract_z
Mn1 Mn 0.0000 0.0000 0.0000
Mn2 Mn 0.0000 0.5000 0.5000
Hg1 Hg 0.5000 0.0000 0.5000
As1 As 0.5000 0.5000 0.0000
```

Computed properties:
* crystal system: monoclinic
* calculated volume: 17.18 A^3/atom

Version two
VASP calculation (PBE) on a geometry-optimized Mn2HgAs structure.

Geometry as CIF:
```
data_Mn2HgAs
_cell_length_a 5.9770
_cell_length_b 7.2544
_cell_length_c 3.1324
_cell_angle_alpha 90.00
_cell_angle_beta 90.14
_cell_angle_gamma 90.00
_symmetry_space_group_name_H-M 'C 1 2/m 1'
_symmetry_Int_Tables_number 12
loop_
_symmetry_equiv_pos_as_xyz
'x,y,z'
'-x,-y,-z'
'-x,y,-z'
'x,-y,z'
'x+1/2,y+1/2,z'
'-x+1/2,-y+1/2,-z'
'-x+1/2,y+1/2,-z'
'x+1/2,-y+1/2,z'
loop_
_atom_site_label
_atom_site_type_symbol
_atom_site_fract_x
_atom_site_fract_y
_atom_site_fract_z
Mn1 Mn 0.2500 0.2500 0.0000
Hg1 Hg 0.0000 0.0000 0.5000
As1 As 0.0000 0.5000 0.5000
```

Computed properties:
* crystal system: monoclinic
* calculated volume: 16.98 A^3/atom

Version three
VASP calculation (PBE) on a geometry-optimized Mn2HgAs structure.

Geometry as CIF:
```
data_Mn2HgAs
_cell_length_a 3.9780
_cell_length_b 3.9780
_cell_length_c 17.2478
_cell_angle_alpha 90.00
_cell_angle_beta 90.00
_cell_angle_gamma 90.00
_symmetry_space_group_name_H-M 'I -4 2 d'
_symmetry_Int_Tables_number 122
_symmetry_space_group_name_Hall 'I -4 2bw'
loop_
_atom_site_label
_atom_site_type_symbol
_atom_site_fract_x
_atom_site_fract_y
_atom_site_fract_z
Mn1 Mn 0.1255 0.2500 0.1250
Hg1 Hg 0.0000 0.0000 0.5000
As1 As 0.0000 0.0000 0.0000
```

Computed properties:
* crystal system: tetragonal
* calculated volume: 17.06 A^3/atom

Version four
VASP calculation (PBE) on a geometry-optimized Mn2HgAs structure.

Geometry as CIF:
```
data_Mn2HgAs
_cell_length_a 3.1935
_cell_length_b 3.1935
_cell_length_c 6.4441
_cell_angle_alpha 90.00
_cell_angle_beta 90.00
_cell_angle_gamma 90.00
_symmetry_space_group_name_H-M 'P 4/m m m'
_symmetry_Int_Tables_number 123
_symmetry_space_group_name_Hall '-P 4 2'
loop_
_atom_site_label
_atom_site_type_symbol
_atom_site_fract_x
_atom_site_fract_y
_atom_site_fract_z
Mn1 Mn 0.0000 0.0000 0.2070
Hg1 Hg 0.5000 0.5000 0.5000
As1 As 0.5000 0.5000 0.0000
```

Computed properties:
* crystal system: tetragonal
* calculated volume: 16.43 A^3/atom

Short version: version four is the most stable of them.

Version one
VASP calculation (PBE) on a geometry-optimized Mn2HgAs structure.

Geometry as CIF:
```
data_Mn2HgAs
_cell_length_a 10.0082
_cell_length_b 3.3591
_cell_length_c 4.3517
_cell_angle_alpha 90.00
_cell_angle_beta 106.81
_cell_angle_gamma 90.00
_symmetry_space_group_name_H-M 'C 1 m 1'
_symmetry_Int_Tables_number 8
loop_
_symmetry_equiv_pos_as_xyz
'x,y,z'
'x,-y,z'
'x+1/2,y+1/2,z'
'x+1/2,-y+1/2,z'
loop_
_atom_site_label
_atom_site_type_symbol
_atom_site_fract_x
_atom_site_fract_y
_atom_site_fract_z
Mn1 Mn 0.0000 0.0000 0.0000
Mn2 Mn 0.2437 0.0000 0.7291
Hg1 Hg 0.2711 0.5000 0.2479
As1 As 0.0351 0.5000 0.5659
```

Computed properties:
* crystal system: monoclinic
* calculated volume: 17.51 A^3/atom

Version two
VASP calculation (PBE) on a geometry-optimized Mn2HgAs structure.

Geometry as CIF:
```
data_Mn2HgAs
_cell_length_a 6.1242
_cell_length_b 6.1242
_cell_length_c 6.1242
_cell_angle_alpha 90.00
_cell_angle_beta 90.00
_cell_angle_gamma 90.00
_symmetry_space_group_name_H-M 'F m -3 m'
_symmetry_Int_Tables_number 225
_symmetry_space_group_name_Hall '-F 4 2 3'
loop_
_atom_site_label
_atom_site_type_symbol
_atom_site_fract_x
_atom_site_fract_y
_atom_site_fract_z
Mn1 Mn 0.2500 0.2500 0.2500
Hg1 Hg 0.0000 0.0000 0.0000
As1 As 0.0000 0.0000 0.5000
```

Computed properties:
* crystal system: cubic
* calculated volume: 14.36 A^3/atom

Short version: version one is the most stable of them.

Version one
VASP calculation (PBE) on a geometry-optimized Mn2HgAs structure.

Geometry as CIF:
```
data_Mn2HgAs
_cell_length_a 3.5027
_cell_length_b 4.1767
_cell_length_c 9.5670
_cell_angle_alpha 90.00
_cell_angle_beta 90.00
_cell_angle_gamma 90.00
_symmetry_space_group_name_H-M 'I m m 2'
_symmetry_Int_Tables_number 44
loop_
_symmetry_equiv_pos_as_xyz
'x,y,z'
'-x,-y,z'
'-x,y,z'
'x,-y,z'
'x+1/2,y+1/2,z+1/2'
'-x+1/2,-y+1/2,z+1/2'
'-x+1/2,y+1/2,z+1/2'
'x+1/2,-y+1/2,z+1/2'
loop_
_atom_site_label
_atom_site_type_symbol
_atom_site_fract_x
_atom_site_fract_y
_atom_site_fract_z
Mn1 Mn 0.0000 0.0000 0.0000
Mn2 Mn 0.0000 0.5000 0.2426
Hg1 Hg 0.0000 0.0000 0.4692
As1 As 0.0000 0.5000 0.7106
```

Computed properties:
* crystal system: orthorhombic
* calculated volume: 17.50 A^3/atom

Version two
VASP calculation (PBE) on a geometry-optimized Mn2HgAs structure.

Geometry as CIF:
```
data_Mn2HgAs
_cell_length_a 3.7454
_cell_length_b 4.7520
_cell_length_c 7.7027
_cell_angle_alpha 90.00
_cell_angle_beta 90.00
_cell_angle_gamma 90.00
_symmetry_space_group_name_H-M 'I m m m'
_symmetry_Int_Tables_number 71
_symmetry_space_group_name_Hall '-I 2 2'
loop_
_atom_site_label
_atom_site_type_symbol
_atom_site_fract_x
_atom_site_fract_y
_atom_site_fract_z
Mn1 Mn 0.0000 0.0000 0.2276
Hg1 Hg 0.0000 0.5000 0.0000
As1 As 0.0000 0.5000 0.5000
```

Computed properties:
* crystal system: orthorhombic
* calculated volume: 17.14 A^3/atom

Short version: version one is the most stable of them.

Version one
VASP calculation (PBE) on a geometry-optimized MnHg3As structure.

Geometry as CIF:
```
data_MnHg3As
_cell_length_a 5.1432
_cell_length_b 5.1432
_cell_length_c 5.1432
_cell_angle_alpha 90.00
_cell_angle_beta 90.00
_cell_angle_gamma 90.00
_symmetry_space_group_name_H-M 'P m -3 m'
_symmetry_Int_Tables_number 221
_symmetry_space_group_name_Hall '-P 4 2 3'
loop_
_atom_site_label
_atom_site_type_symbol
_atom_site_fract_x
_atom_site_fract_y
_atom_site_fract_z
Mn1 Mn 0.0000 0.0000 0.0000
Hg1 Hg 0.0000 0.0000 0.5000
As1 As 0.5000 0.5000 0.5000
```

Computed properties:
* crystal system: cubic
* calculated volume: 27.21 A^3/atom

Version two
VASP calculation (PBE) on a geometry-optimized MnHg3As structure.

Geometry as CIF:
```
data_MnHg3As
_cell_length_a 5.3222
_cell_length_b 5.3222
_cell_length_c 5.3222
_cell_angle_alpha 90.00
_cell_angle_beta 90.00
_cell_angle_gamma 90.00
_symmetry_space_group_name_H-M 'P m -3 m'
_symmetry_Int_Tables_number 221
_symmetry_space_group_name_Hall '-P 4 2 3'
loop_
_atom_site_label
_atom_site_type_symbol
_atom_site_fract_x
_atom_site_fract_y
_atom_site_fract_z
Mn1 Mn 0.0000 0.0000 0.0000
Hg1 Hg 0.0000 0.5000 0.5000
As1 As 0.5000 0.5000 0.5000
```

Computed properties:
* crystal system: cubic
* calculated volume: 30.15 A^3/atom

Short version: version two is the most stable of them.